The following is a DFT calculation (SCAN) of a crystal of La3BiPt relaxed with PBEsol.

Computed properties:
Total DFT energy (no corrections)   -55.2427 eV per atom
Energy relative to the elements   0.37 eV per atom

CIF file:
```
data_La3BiPt
_cell_length_a 5.9197
_cell_length_b 5.9197
_cell_length_c 5.9197
_cell_angle_alpha 90.00
_cell_angle_beta 90.00
_cell_angle_gamma 90.00
_space_group_name_H-M_alt 'P 1'
_space_group_IT_number 1
loop_
_space_group_symop_operation_xyz
'x,y,z'
loop_
_atom_site_label
_atom_site_fract_x
_atom_site_fract_y
_atom_site_fract_z
_atom_site_occupancy
La1 0.0000 0.0000 0.5000 1
La2 0.0000 0.5000 0.0000 1
La3 0.5000 0.0000 0.0000 1
Bi1 0.0000 0.0000 0.0000 1
Pt1 0.5000 0.5000 0.5000 1
```


The following is a DFT calculation (SCAN) of a crystal of Li2Fe5Si4O14 relaxed with PBEsol.

Computed properties:
Total DFT energy (no corrections)   -11.1559 eV per atom

CIF file:
```
data_Li2Fe5Si4O14
_cell_length_a 5.2566
_cell_length_b 7.1207
_cell_length_c 7.7442
_cell_angle_alpha 112.12
_cell_angle_beta 95.24
_cell_angle_gamma 99.38
_space_group_name_H-M_alt 'P 1'
_space_group_IT_number 1
loop_
_space_group_symop_operation_xyz
'x,y,z'
loop_
_atom_site_label
_atom_site_fract_x
_atom_site_fract_y
_atom_site_fract_z
_atom_site_occupancy
Li1 0.2501 0.0951 0.4603 1
Li2 0.7499 0.9049 0.5397 1
Fe1 0.0000 0.0000 0.0000 1
Fe2 0.0542 0.4317 0.8373 1
Fe3 0.3298 0.4198 0.2794 1
Fe4 0.6702 0.5802 0.7206 1
Fe5 0.9458 0.5683 0.1627 1
Si1 0.1891 0.7849 0.5917 1
Si2 0.4863 0.7882 0.1263 1
Si3 0.5137 0.2118 0.8737 1
Si4 0.8109 0.2151 0.4083 1
O1 0.0421 0.1840 0.2775 1
O2 0.0737 0.8081 0.4005 1
O3 0.1745 0.7291 0.0329 1
O4 0.3078 0.5807 0.5546 1
O5 0.3348 0.1873 0.0283 1
O6 0.4361 0.3798 0.7920 1
O7 0.4470 0.9851 0.6893 1
O8 0.5530 0.0149 0.3107 1
O9 0.5639 0.6202 0.2080 1
O10 0.6652 0.8127 0.9717 1
O11 0.6922 0.4193 0.4454 1
O12 0.8255 0.2709 0.9671 1
O13 0.9263 0.1919 0.5995 1
O14 0.9579 0.8160 0.7225 1
```


The following is a DFT calculation (SCAN) of a crystal of TaCd2PbO relaxed with PBEsol.

Computed properties:
Total DFT energy (no corrections)   -41.5367 eV per atom

CIF file:
```
data_TaCd2PbO
_cell_length_a 4.3673
_cell_length_b 4.3673
_cell_length_c 5.0502
_cell_angle_alpha 90.00
_cell_angle_beta 90.00
_cell_angle_gamma 90.00
_space_group_name_H-M_alt 'P 1'
_space_group_IT_number 1
loop_
_space_group_symop_operation_xyz
'x,y,z'
loop_
_atom_site_label
_atom_site_fract_x
_atom_site_fract_y
_atom_site_fract_z
_atom_site_occupancy
Ta1 0.0000 0.0000 0.0000 1
Cd1 0.0000 0.5000 0.5000 1
Cd2 0.5000 0.0000 0.5000 1
Pb1 0.5000 0.5000 0.0000 1
O1 0.5000 0.5000 0.5000 1
```


The following is a DFT calculation (SCAN) of a crystal of CoOsS3 relaxed with PBEsol.

Computed properties:
Total DFT energy (no corrections)   -22.3994 eV per atom

CIF file:
```
data_CoOsS3
_cell_length_a 4.2006
_cell_length_b 4.2006
_cell_length_c 4.2006
_cell_angle_alpha 90.00
_cell_angle_beta 90.00
_cell_angle_gamma 90.00
_space_group_name_H-M_alt 'P 1'
_space_group_IT_number 1
loop_
_space_group_symop_operation_xyz
'x,y,z'
loop_
_atom_site_label
_atom_site_fract_x
_atom_site_fract_y
_atom_site_fract_z
_atom_site_occupancy
Co1 0.0000 0.0000 0.0000 1
Os1 0.5000 0.5000 0.5000 1
S1 0.0000 0.0000 0.5000 1
S2 0.0000 0.5000 0.0000 1
S3 0.5000 0.0000 0.0000 1
```


The following is a DFT calculation (SCAN) of a crystal of Na2NbAu relaxed with PBEsol.

Computed properties:
Total DFT energy (no corrections)   -27.0058 eV per atom
Energy relative to the elements   0.67 eV per atom

CIF file:
```
data_Na2NbAu
_cell_length_a 6.4441
_cell_length_b 6.4441
_cell_length_c 6.4441
_cell_angle_alpha 99.85
_cell_angle_beta 99.85
_cell_angle_gamma 131.13
_space_group_name_H-M_alt 'P 1'
_space_group_IT_number 1
loop_
_space_group_symop_operation_xyz
'x,y,z'
loop_
_atom_site_label
_atom_site_fract_x
_atom_site_fract_y
_atom_site_fract_z
_atom_site_occupancy
Na1 0.0878 0.6250 0.9628 1
Na2 0.3750 0.3378 0.4628 1
Na3 0.6622 0.1250 0.0372 1
Na4 0.8750 0.9122 0.5372 1
Nb1 0.2500 0.7500 0.5000 1
Nb2 0.5000 0.5000 0.0000 1
Au1 0.0000 0.0000 0.0000 1
Au2 0.7500 0.2500 0.5000 1
```


The following is a DFT calculation (SCAN) of a crystal of ScTa2Ag relaxed with PBEsol.

Computed properties:
Total DFT energy (no corrections)   -44.4025 eV per atom
Energy relative to the elements   0.29 eV per atom
E above lowest polymorph   154 meV per atom

CIF file:
```
data_ScTa2Ag
_cell_length_a 2.8910
_cell_length_b 2.8910
_cell_length_c 8.6806
_cell_angle_alpha 90.00
_cell_angle_beta 90.00
_cell_angle_gamma 90.00
_space_group_name_H-M_alt 'P 1'
_space_group_IT_number 1
loop_
_space_group_symop_operation_xyz
'x,y,z'
loop_
_atom_site_label
_atom_site_fract_x
_atom_site_fract_y
_atom_site_fract_z
_atom_site_occupancy
Sc1 0.0000 0.0000 0.0000 1
Ta1 0.5000 0.5000 0.2575 1
Ta2 0.5000 0.5000 0.7425 1
Ag1 0.0000 0.0000 0.5000 1
```